{"formula": "PuTl2Cr3F12", "functional": "PBE+U", "state": "optimized geometry", "magmom_total_mub_per_cell": 16.0, "crystal_system": "trigonal", "n_ef_per_ev_atom": 0.48, "e_tot_ev_per_atom": -6.205, "cell": [[3.960, 2.286, 5.385], [-3.960, 2.286, 5.385], [0.000, -4.572, 5.385]], "species": ["Pu", "Tl", "Tl", "Cr", "Cr", "Cr", "F", "F", "F", "F", "F", "F", "F", "F", "F", "F", "F", "F"], "fractional_positions": [[0.000, 0.000, 0.000], [0.384, 0.384, 0.384], [0.616, 0.616, 0.616], [0.000, 0.000, 0.500], [0.000, 0.500, 0.000], [0.500, 0.000, 0.000], [0.088, 0.739, 0.739], [0.130, 0.130, 0.607], [0.130, 0.607, 0.130], [0.261, 0.261, 0.912], [0.261, 0.912, 0.261], [0.393, 0.870, 0.870], [0.607, 0.130, 0.130], [0.739, 0.088, 0.739], [0.739, 0.739, 0.088], [0.870, 0.393, 0.870], [0.870, 0.870, 0.393], [0.912, 0.261, 0.261]]}